No. 1
Entry from Alexandria: crystalline PbAuN2 at its relaxed geometry (PBE-GGA).

Output
- ΔE_f (raw): 4.74 eV per formula unit
- Total magnetic moment: 0.00 Bohr magnetons per cell
- Fermi-level density of states: 6.32 states/eV/cell
- Calculated total energy: -4.72 eV per atom

Lattice parameters (Å, degrees): 5.2043 5.2043 6.3365 65.75 65.75 90.00
Closest atoms and distances in Å follow each position.
Sites, in units of the cell vectors:
N 0.1374 0.6250 0.2500  2 Au 2.21, 2 Pb 2.28
N 0.3750 0.3874 0.7500  2 Au 2.21, 2 Pb 2.28
N 0.6126 0.1250 0.2500  2 Au 2.21, 2 Pb 2.28
N 0.8750 0.8626 0.7500  2 Au 2.21, 2 Pb 2.28
Au 0.5000 0.5000 0.0000  4 N 2.21
Au 0.2500 0.7500 0.5000  4 N 2.21
Pb 0.0000 0.0000 0.0000  4 N 2.28
Pb 0.7500 0.2500 0.5000  4 N 2.28

=====

No. 2
Entry from Alexandria: crystalline SnTe at its relaxed geometry (PBE-GGA).

Output
- ΔE_f (raw): -0.28 eV per formula unit
- Total magnetic moment: 0.00 Bohr magnetons per cell
- Calculated total energy: -3.71 eV per atom

Lattice parameters (Å, degrees): 4.2832 6.9904 15.2186 90.00 90.00 90.00
Closest atoms and distances in Å follow each position.
Sites, in units of the cell vectors:
Te 0.5000 0.2655 0.7180  4 Sn 3.00-3.34
Te 0.0000 0.7345 0.7820  4 Sn 3.00-3.34
Te 0.0000 0.7345 0.2180  4 Sn 3.00-3.34
Te 0.5000 0.4018 0.0000  2 Sn 2.89
Te 0.5000 0.2655 0.2820  4 Sn 3.00-3.34
Te 0.0000 0.5982 0.5000  2 Sn 2.89
Sn 0.0000 0.6804 0.0000  2 Te 2.89
Sn 0.5000 0.3196 0.5000  2 Te 2.89
Sn 0.0000 0.0241 0.3638  3 Te 3.00
Sn 0.5000 0.9759 0.1362  3 Te 3.00
Sn 0.5000 0.9759 0.8638  3 Te 3.00
Sn 0.0000 0.0241 0.6362  3 Te 3.00

=====

No. 3
Entry from Alexandria: crystalline TaVN2 at its relaxed geometry (PBE-GGA).

Output
- ΔE_f (raw): -1.92 eV per formula unit
- Total magnetic moment: 0.00 Bohr magnetons per cell
- Fermi-level density of states: 0.45 states/eV/cell
- Calculated total energy: -9.89 eV per atom

Lattice parameters (Å, degrees): 3.7546 3.7546 3.7546 60.00 60.00 60.00
Closest atoms and distances in Å follow each position.
Sites, in units of the cell vectors:
Ta 0.5000 0.5000 0.5000  8 N 2.30
N 0.2500 0.2500 0.2500  4 Ta 2.30, 4 V 2.30
N 0.7500 0.7500 0.7500  4 Ta 2.30, 4 V 2.30
V 0.0000 0.0000 0.0000  8 N 2.30

=====

No. 4
Entry from Alexandria: crystalline ReAu2Br at its relaxed geometry (PBE-GGA).

Output
- Energy above the most stable polymorph in this dataset: 50.24 kJ per mole of atoms
- ΔE_f (raw): 4.11 eV per formula unit
- Total magnetic moment: 1.33 Bohr magnetons per cell
- Fermi-level density of states: 3.10 states/eV/cell
- Calculated total energy: -4.14 eV per atom

Lattice parameters (Å, degrees): 5.3821 5.3821 2.6812 90.00 90.00 90.00
Closest atoms and distances in Å follow each position.
Sites, in units of the cell vectors:
Br 0.5000 0.0000 0.5000  2 Br 2.68
Re 0.0000 0.5000 0.5000  2 Re 2.68
Au 0.5000 0.5000 0.0000  2 Au 2.68
Au 0.0000 0.0000 0.0000  2 Au 2.68

=====

No. 5
Entry from Alexandria: crystalline Li2GeB2Ir5 at its relaxed geometry (PBE-GGA).

Output
- Calculated formation energy: -0.35 eV/atom
- Total magnetic moment: 0.00 Bohr magnetons per cell
- Fermi-level density of states: 12.50 states/eV/cell
- Calculated total energy: -6.96 eV per atom

Lattice parameters (Å, degrees): 2.8882 9.4168 9.4168 90.00 90.00 90.00
Closest atoms and distances in Å follow each position.
Sites, in units of the cell vectors:
B 0.0000 0.3738 0.1262  6 Ir 2.15-2.22
B 0.0000 0.6262 0.8738  6 Ir 2.15-2.22
B 0.0000 0.8738 0.3738  6 Ir 2.15-2.22
B 0.0000 0.1262 0.6262  6 Ir 2.15-2.22
Ir 0.5000 0.2867 0.5715  2 B 2.15
Ir 0.5000 0.7133 0.4285  2 B 2.15
Ir 0.5000 0.0715 0.7867  2 B 2.15
Ir 0.5000 0.0000 0.5000  4 B 2.22
Ir 0.5000 0.4285 0.2867  2 B 2.15
Ir 0.5000 0.2133 0.0715  2 B 2.15
Ir 0.5000 0.5715 0.7133  2 B 2.15
Ir 0.5000 0.9285 0.2133  2 B 2.15
Ir 0.5000 0.7867 0.9285  2 B 2.15
Ir 0.5000 0.5000 0.0000  4 B 2.22
Li 0.0000 0.1749 0.3251  3 B 2.65-2.87, 10 Ir 2.74-2.93, 2 Li 2.89
Li 0.0000 0.8251 0.6749  3 B 2.65-2.87, 10 Ir 2.74-2.93, 2 Li 2.89
Li 0.0000 0.6749 0.1749  3 B 2.65-2.87, 10 Ir 2.74-2.93, 2 Li 2.89
Li 0.0000 0.3251 0.8251  3 B 2.65-2.87, 10 Ir 2.74-2.93, 2 Li 2.89
Ge 0.0000 0.5000 0.5000  8 Ir 2.56
Ge 0.0000 0.0000 0.0000  8 Ir 2.56

=====

No. 6
Entry from Alexandria: crystalline Al2InRu at its relaxed geometry (PBE-GGA).

Output
- Calculated formation energy: -0.06 eV/atom
- Total magnetic moment: 0.00 Bohr magnetons per cell
- Fermi-level density of states: 2.27 states/eV/cell
- Calculated total energy: -4.93 eV per atom

Lattice parameters (Å, degrees): 4.0414 4.0413 3.9520 90.00 90.00 90.00
Closest atoms and distances in Å follow each position.
Sites, in units of the cell vectors:
Al 0.5000 0.5000 0.0000  4 In 2.83, 4 Ru 2.83, 4 Al 2.86
Al 0.0000 0.0000 0.0000  4 Ru 2.83, 4 In 2.83, 4 Al 2.86
In 0.5000 0.0000 0.5000  8 Al 2.83, 4 Ru 2.86
Ru 0.0000 0.5000 0.5000  8 Al 2.83, 4 In 2.86

=====

No. 7
Entry from Alexandria: crystalline P2RhPbO at its relaxed geometry (PBE-GGA).

Output
- Energy above the most stable polymorph in this dataset: 106.66 kJ per mole of atoms
- ΔE_f (raw): 6.19 eV per formula unit
- Total magnetic moment: 0.06 Bohr magnetons per cell
- Fermi-level density of states: 7.01 states/eV/cell
- Calculated total energy: -4.13 eV per atom

Lattice parameters (Å, degrees): 5.1761 5.1761 4.0141 90.00 90.00 90.00
Closest atoms and distances in Å follow each position.
Sites, in units of the cell vectors:
Pb 0.0000 0.0000 0.0000  2 O 2.01
P 0.0000 0.5000 0.0000  2 Pb 2.59
P 0.5000 0.0000 0.0000  2 Pb 2.59
O 0.0000 0.0000 0.5000  2 Pb 2.01
Rh 0.5000 0.5000 0.5000  8 P 3.28, 4 O 3.66

=====

No. 8
Entry from Alexandria: crystalline LiCa2ZnRh2 at its relaxed geometry (PBE-GGA).

Output
- Calculated formation energy: -0.32 eV/atom
- Total magnetic moment: 0.00 Bohr magnetons per cell
- Fermi-level density of states: 5.33 states/eV/cell
- Calculated total energy: -3.97 eV per atom

Lattice parameters (Å, degrees): 5.7084 5.7485 8.2653 110.35 110.20 90.00
Closest atoms and distances in Å follow each position.
Sites, in units of the cell vectors:
Rh 0.6319 0.3860 0.7720  2 Zn 2.59-2.60, 2 Li 2.62
Rh 0.3681 0.6140 0.2280  2 Zn 2.59-2.60, 2 Li 2.62
Rh 0.8599 0.1140 0.2280  2 Zn 2.59-2.60, 2 Li 2.62
Rh 0.1401 0.8860 0.7720  2 Zn 2.59-2.60, 2 Li 2.62
Li 0.0000 0.2500 0.0000  4 Rh 2.62, 2 Zn 2.85, 2 Li 2.87
Li 0.0000 0.7500 0.0000  4 Rh 2.62, 2 Zn 2.85, 2 Li 2.87
Ca 0.9166 0.6710 0.3421  5 Rh 2.92-3.10, 2 Zn 3.18, 2 Li 3.20
Ca 0.5745 0.8290 0.6579  5 Rh 2.92-3.10, 2 Zn 3.18, 2 Li 3.20
Ca 0.0834 0.3290 0.6579  5 Rh 2.92-3.10, 2 Zn 3.18, 2 Li 3.20
Ca 0.4255 0.1710 0.3421  5 Rh 2.92-3.10, 2 Zn 3.18, 2 Li 3.20
Zn 0.5000 0.2500 0.0000  4 Rh 2.59-2.60, 2 Li 2.85, 2 Zn 2.87
Zn 0.5000 0.7500 0.0000  4 Rh 2.59-2.60, 2 Li 2.85, 2 Zn 2.87

=====

No. 9
Entry from Alexandria: crystalline CaTl2Bi at its relaxed geometry (PBE-GGA).

Output
- Calculated formation energy: -0.21 eV/atom
- Total magnetic moment: 0.00 Bohr magnetons per cell
- Fermi-level density of states: 2.77 states/eV/cell
- Calculated total energy: -2.87 eV per atom

Lattice parameters (Å, degrees): 4.1632 4.1632 7.0409 90.00 90.00 90.00
Closest atoms and distances in Å follow each position.
Sites, in units of the cell vectors:
Bi 0.5000 0.5000 0.0000  8 Tl 3.38, 2 Ca 3.52
Tl 0.0000 0.0000 0.2367  2 Tl 3.33-3.71, 4 Bi 3.38, 4 Ca 3.48
Tl 0.0000 0.0000 0.7633  2 Tl 3.33-3.71, 4 Bi 3.38, 4 Ca 3.48
Ca 0.5000 0.5000 0.5000  8 Tl 3.48, 2 Bi 3.52

=====

No. 10
Entry from Alexandria: crystalline AcTbSmEr at its relaxed geometry (PBE-GGA).

Output
- Calculated formation energy: 0.12 eV/atom
- Total magnetic moment: 0.00 Bohr magnetons per cell
- Fermi-level density of states: 7.28 states/eV/cell
- Calculated total energy: -4.38 eV per atom

Lattice parameters (Å, degrees): 5.8482 5.8482 5.8482 60.00 60.00 60.00
Closest atoms and distances in Å follow each position.
Sites, in units of the cell vectors:
Er 0.5000 0.5000 0.5000  4 Ac 3.58, 4 Sm 3.58
Ac 0.7500 0.7500 0.7500  4 Er 3.58, 4 Tb 3.58
Tb 0.0000 0.0000 0.0000  4 Sm 3.58, 4 Ac 3.58
Sm 0.2500 0.2500 0.2500  4 Tb 3.58, 4 Er 3.58

=====

No. 11
Entry from Alexandria: crystalline Hf3Ga6Tc at its relaxed geometry (PBE-GGA).

Output
- Calculated formation energy: -0.26 eV/atom
- Total magnetic moment: 0.00 Bohr magnetons per cell
- Fermi-level density of states: 10.85 states/eV/cell
- Calculated total energy: -6.10 eV per atom

Lattice parameters (Å, degrees): 6.6738 7.4716 7.4716 91.92 90.00 90.00
Closest atoms and distances in Å follow each position.
Sites, in units of the cell vectors:
Hf 0.4126 0.2069 0.1219  2 Tc 2.77-2.82, 6 Ga 2.79-3.01
Hf 0.8948 0.6994 0.3006  1 Tc 2.66, 1 Ga 2.84
Hf 0.9126 0.1219 0.2069  2 Tc 2.77-2.82, 6 Ga 2.79-3.01
Hf 0.4126 0.8781 0.7931  2 Tc 2.77-2.82, 6 Ga 2.79-3.01
Hf 0.3948 0.3006 0.6994  1 Tc 2.66, 1 Ga 2.84
Hf 0.9126 0.7931 0.8781  2 Tc 2.77-2.82, 6 Ga 2.79-3.01
Tc 0.6142 0.8757 0.1243  5 Ga 2.60-2.80, 5 Hf 2.66-2.82
Tc 0.1142 0.1243 0.8757  5 Ga 2.60-2.80, 5 Hf 2.66-2.82
Ga 0.6645 0.6142 0.6300  4 Ga 2.54-2.80, 2 Hf 2.79-2.84
Ga 0.5905 0.0120 0.4622  1 Tc 2.69, 2 Ga 2.80-2.95, 2 Hf 2.95-3.01
Ga 0.9242 0.3358 0.6642  1 Tc 2.60, 5 Ga 2.63-2.76
Ga 0.6645 0.3700 0.3858  4 Ga 2.54-2.80, 2 Hf 2.79-2.84
Ga 0.5905 0.5378 0.9880  1 Tc 2.69, 2 Ga 2.80-2.95, 2 Hf 2.95-3.01
Ga 0.7169 0.1279 0.8721  1 Ga 2.63, 2 Tc 2.65-2.80, 5 Hf 2.81-2.84
Ga 0.1645 0.6300 0.6142  4 Ga 2.54-2.80, 2 Hf 2.79-2.84
Ga 0.2169 0.8721 0.1279  1 Ga 2.63, 2 Tc 2.65-2.80, 5 Hf 2.81-2.84
Ga 0.0905 0.9880 0.5378  1 Tc 2.69, 2 Ga 2.80-2.95, 2 Hf 2.95-3.01
Ga 0.1645 0.3858 0.3700  4 Ga 2.54-2.80, 2 Hf 2.79-2.84
Ga 0.4242 0.6642 0.3358  1 Tc 2.60, 5 Ga 2.63-2.76
Ga 0.0905 0.4622 0.0120  1 Tc 2.69, 2 Ga 2.80-2.95, 2 Hf 2.95-3.01